Density functional theory data (PBE-GGA) for an optimized crystal structure of Co3PbI.

Summary:
Formation energy from raw total energies = 1.18 eV per atom

```
data_Co3PbI
_chemical_formula_sum 'Co3 Pb1 I1'
_cell_length_a 4.6775
_cell_length_b 4.6775
_cell_length_c 4.6775
_cell_angle_alpha 90.00
_cell_angle_beta 90.00
_cell_angle_gamma 90.00
_space_group_name_H-M_alt 'P m -3 m'
_space_group_IT_number 221
_space_group_name_Hall '-P 4 2 3'
loop_
_atom_site_label
_atom_site_fract_x
_atom_site_fract_y
_atom_site_fract_z
Co1 0.0000 0.0000 0.5000
Pb1 0.5000 0.5000 0.5000
I1 0.0000 0.0000 0.0000
```